Entry from the Alexandria database: LaZr2Cu after structural relaxation (GGA-PBE).

Calculated values
* calculated formation energy: 206 meV per atom
* polymorph energy (0 for the lowest one): 233.0 meV/atom

Cell and atoms, written as CIF:
```
data_LaZr2Cu
_chemical_formula_sum 'La2 Zr4 Cu2'
_cell_length_a 4.526
_cell_length_b 4.526
_cell_length_c 8.848
_cell_angle_alpha 90.00
_cell_angle_beta 90.00
_cell_angle_gamma 90.00
_symmetry_space_group_name_H-M 'I -4 m 2'
_symmetry_Int_Tables_number 119
_symmetry_space_group_name_Hall 'I -4 -2'
loop_
_atom_site_label
_atom_site_type_symbol
_atom_site_fract_x
_atom_site_fract_y
_atom_site_fract_z
_atom_site_occupancy
La1 La 0.000 0.000 0.000 1
Zr1 Zr 0.000 0.000 0.500 1
Zr2 Zr 0.000 0.500 0.750 1
Cu1 Cu 0.000 0.500 0.250 1
```


Entry from the Alexandria database: PmY3In after structural relaxation (GGA-PBE).

Calculated values
* calculated formation energy: -183 meV per atom
* polymorph energy (0 for the lowest one): 0.0 meV/atom

Cell and atoms, written as CIF:
```
data_PmY3In
_chemical_formula_sum 'Pm4 Y12 In4'
_cell_length_a 4.890
_cell_length_b 25.221
_cell_length_c 4.886
_cell_angle_alpha 90.00
_cell_angle_beta 90.00
_cell_angle_gamma 90.00
_symmetry_space_group_name_H-M 'C m c m'
_symmetry_Int_Tables_number 63
_symmetry_space_group_name_Hall '-C 2c 2'
loop_
_atom_site_label
_atom_site_type_symbol
_atom_site_fract_x
_atom_site_fract_y
_atom_site_fract_z
_atom_site_occupancy
Pm1 Pm 0.000 0.149 0.250 1
Y1 Y 0.000 0.049 0.750 1
Y2 Y 0.000 0.250 0.750 1
Y3 Y 0.000 0.447 0.750 1
In1 In 0.000 0.347 0.250 1
```


Entry from the Alexandria database: Nd2ZnNi after structural relaxation (GGA-PBE).

Calculated values
* calculated formation energy: -291 meV per atom

Cell and atoms, written as CIF:
```
data_Nd2ZnNi
_chemical_formula_sum 'Nd4 Zn2 Ni2'
_cell_length_a 5.997
_cell_length_b 4.513
_cell_length_c 7.668
_cell_angle_alpha 90.00
_cell_angle_beta 112.82
_cell_angle_gamma 90.00
_symmetry_space_group_name_H-M 'P 1 21/m 1'
_symmetry_Int_Tables_number 11
loop_
_symmetry_equiv_pos_as_xyz
'x,y,z'
'-x,-y,-z'
'-x,y+1/2,-z'
'x,-y+1/2,z'
loop_
_atom_site_label
_atom_site_type_symbol
_atom_site_fract_x
_atom_site_fract_y
_atom_site_fract_z
_atom_site_occupancy
Nd1 Nd 0.180 0.250 0.419 1
Nd2 Nd 0.280 0.750 0.070 1
Zn1 Zn 0.372 0.750 0.712 1
Ni1 Ni 0.179 0.250 0.784 1
```


Entry from the Alexandria database: BaMg2V2 after structural relaxation (GGA-PBE).

Calculated values
* calculated formation energy: 503 meV per atom
* polymorph energy (0 for the lowest one): 0.0 meV/atom

Cell and atoms, written as CIF:
```
data_BaMg2V2
_chemical_formula_sum 'Ba2 Mg4 V4'
_cell_length_a 8.515
_cell_length_b 8.515
_cell_length_c 3.239
_cell_angle_alpha 90.00
_cell_angle_beta 90.00
_cell_angle_gamma 90.00
_symmetry_space_group_name_H-M 'P 4/m b m'
_symmetry_Int_Tables_number 127
_symmetry_space_group_name_Hall '-P 4 2ab'
loop_
_atom_site_label
_atom_site_type_symbol
_atom_site_fract_x
_atom_site_fract_y
_atom_site_fract_z
_atom_site_occupancy
Ba1 Ba 0.000 0.000 0.000 1
Mg1 Mg 0.196 0.304 0.500 1
V1 V 0.080 0.580 0.000 1
```


Q: Among the records above, which one has the lowest calculated formation energy?
A: Nd2ZnNi


Q: calculated formation energy of number 2 (PmY3In)?
A: -183 meV per atom